# Cs2Tl2MoF6

A geometry-optimized Cs2Tl2MoF6 structure (GGA+U, the Alexandria database).

For the energy, the calculation gives -4.41 eV/atom. Its density of states at the Fermi level is 0.0 states/eV/cell.

Cell lengths 7.226, 12.289, 6.832 Å; angles 90.00, 106.04, 90.00 degrees
Space group C2/m (No. 12)
Symmetry-distinct sites (fractional):
Cs1 0.000 0.156 0.000 x4
Tl1 0.000 0.351 0.500 x4
Mo1 0.000 0.500 0.000 x2
F1 0.167 0.370 0.180 x8
F2 0.202 0.500 0.702 x4